# Pa3CrS2O6 (PBE with a Hubbard U, relaxed)
data_Pa3CrS2O6
_chemical_formula_sum 'Pa6 Cr2 S4 O12'
_symmetry_space_group_name_H-M 'C 1 2/m 1'
_symmetry_Int_Tables_number 12
_symmetry_space_group_name_Hall '-C 2y'
_cell_length_a 11.992
_cell_length_b 7.571
_cell_length_c 5.798
_cell_angle_alpha 90.00
_cell_angle_beta 105.62
_cell_angle_gamma 90.00
loop_
_atom_site_label
_atom_site_type_symbol
_atom_site_fract_x
_atom_site_fract_y
_atom_site_fract_z
Pa1 Pa 0.000 0.000 0.000
Pa2 Pa 0.250 0.250 0.500
Cr1 Cr 0.000 0.500 0.500
S1 S 0.181 0.000 0.782
O1 O 0.094 0.198 0.237
O2 O 0.176 0.500 0.582
# energy = -8.87 eV/atom